DFT (PBE) results for a relaxed structure of Nd2HfAg.

a = 3.2629 Å, b = 3.2629 Å, c = 35.1039 Å
α = 90.00°, β = 90.00°, γ = 120.00°
With the nearest neighbours (Å) after each atom.
Space group R-3m (No. 166, hexagonal axes)
Inequivalent atoms, fractional coordinates:
Nd  0.0000  0.0000  0.0909 (multiplicity 6)  1 Hf 3.19, 3 Ag 3.26, 6 Nd 3.26
Hf  0.0000  0.0000  0.0000 (multiplicity 3)  2 Nd 3.19, 6 Hf 3.26
Ag  0.0000  0.0000  0.5000 (multiplicity 3)  6 Nd 3.26, 6 Ag 3.26

- energy of formation (eV per atom) = 0.366
- energy relative to the lowest polymorph listed for this composition (eV per formula unit) = 1.49

=====

DFT (PBE) results for a relaxed structure of RbTe2S6.

a = 6.3641 Å, b = 6.8317 Å, c = 8.3243 Å
α = 99.12°, β = 111.12°, γ = 97.02°
With the nearest neighbours (Å) after each atom.
Space group P-1 (No. 2)
Inequivalent atoms, fractional coordinates:
Rb  0.0000  0.0000  0.0000 (multiplicity 1)  6 S 3.61-3.87, 2 Te 4.03
Te  0.3108  0.7229  0.7104 (multiplicity 2)  2 S 2.41-2.51
S  0.0648  0.9135  0.4307 (multiplicity 2)  1 S 1.97
S  0.4364  0.3424  0.4396 (multiplicity 2)  1 S 2.15
S  0.4733  0.3433  0.9916 (multiplicity 2)  1 S 2.10

- energy relative to the elements, uncorrected (eV/atom) = -0.088

=====

DFT (PBE) results for a relaxed structure of Y2FeRh.

a = 4.0885 Å, b = 4.0885 Å, c = 20.3860 Å
α = 90.00°, β = 90.00°, γ = 120.00°
With the nearest neighbours (Å) after each atom.
Space group R3m (No. 160, hexagonal axes)
Inequivalent atoms, fractional coordinates:
Y  0.0000  0.0000  0.0000 (multiplicity 3)  3 Fe 2.95, 3 Rh 3.04
Y  0.0000  0.0000  0.1806 (multiplicity 3)  3 Rh 2.95, 3 Fe 3.03
Fe  0.0000  0.0000  0.4205 (multiplicity 3)  3 Rh 2.36
Rh  0.0000  0.0000  0.7604 (multiplicity 3)  3 Fe 2.36

- energy of formation (eV per atom) = -0.261

=====

Across the entries above, size of the total moment takes the values 0.0 1.0 1.3 μB per formula unit, respectively.